# 1
A plane-wave DFT calculation with PBE was carried out for ZrSc3Al2 after structural relaxation.

abc: 3.2847 3.2847 11.5864
angles: 90.00 90.00 90.00
Last column: nearest neighbours and their distance in Å.
Positions (direct):
Zr (0.0000, 0.0000, 0.0000)  8 Sc 3.17, 4 Zr 3.28
Sc (0.5000, 0.5000, 0.1857)  4 Al 2.96, 4 Zr 3.17, 4 Sc 3.28
Sc (0.5000, 0.5000, 0.5000)  8 Al 2.95, 4 Sc 3.28
Sc (0.5000, 0.5000, 0.8143)  4 Al 2.96, 4 Zr 3.17, 4 Sc 3.28
Al (0.0000, 0.0000, 0.3434)  8 Sc 2.95-2.96, 4 Al 3.28
Al (0.0000, 0.0000, 0.6566)  8 Sc 2.95-2.96, 4 Al 3.28

## Properties
formation enthalpy at 0 K = -0.318 eV/atom
total DFT energy (no corrections) = -36.9 eV/cell

=====

# 2
A plane-wave DFT calculation with PBE was carried out for La3Al2Ni7 after structural relaxation.

abc: 8.6205 8.6205 8.6205
angles: 35.79 35.79 35.79
Last column: nearest neighbours and their distance in Å.
Positions (direct):
La (0.0000, 0.0000, 0.0000)  6 Al 3.06, 12 Ni 3.28
La (0.1425, 0.1425, 0.1425)  12 Ni 3.05-3.11, 3 La 3.27
La (0.8575, 0.8575, 0.8575)  12 Ni 3.05-3.11, 3 La 3.27
Al (0.3302, 0.3302, 0.3302)  6 Ni 2.45-2.50
Al (0.6698, 0.6698, 0.6698)  6 Ni 2.45-2.50
Ni (0.0921, 0.5745, 0.5745)  2 Al 2.45-2.50, 5 Ni 2.56-2.74
Ni (0.4255, 0.4255, 0.9079)  2 Al 2.45-2.50, 5 Ni 2.56-2.74
Ni (0.4255, 0.9079, 0.4255)  2 Al 2.45-2.50, 5 Ni 2.56-2.74
Ni (0.5000, 0.5000, 0.5000)  6 Ni 2.56
Ni (0.5745, 0.0921, 0.5745)  2 Al 2.45-2.50, 5 Ni 2.56-2.74
Ni (0.5745, 0.5745, 0.0921)  2 Al 2.45-2.50, 5 Ni 2.56-2.74
Ni (0.9079, 0.4255, 0.4255)  2 Al 2.45-2.50, 5 Ni 2.56-2.74

## Properties
formation enthalpy at 0 K = -0.433 eV/atom
total DFT energy (no corrections) = -67.9 eV/cell